# 1
Material: Pr5TmSi4
Method: DFT, PBE-GGA
State: optimized geometry

Calculated values
- uncorrected formation energy (eV/f.u.) = -4.68
- calculated total energy (eV per formula unit) = -54.74

a = 15.807 Å, b = 5.060 Å, c = 6.970 Å
α = 90.00°, β = 91.38°, γ = 90.00°
Space group C2/m (No. 12)
Asymmetric unit:
1 Pr 0.000 0.000 0.000 x2
2 Pr 0.163 0.500 0.001 x4
3 Pr 0.167 0.500 0.508 x4
4 Tm 0.000 0.000 0.500 x2
5 Si 0.008 0.500 0.267 x4
6 Si 0.174 0.000 0.749 x4

=====

# 2
Material: HoSc2Tl
Method: DFT, PBE-GGA
State: optimized geometry

Calculated values
- excess energy over the best structure of this formula in the dataset (kJ/mol of atoms) = 10.1
- energy of formation from the pure elements (eV/atom) = -0.074
- calculated total energy (eV per formula unit) = -19.90

a = 3.4133 Å, b = 3.4133 Å, c = 31.2560 Å
α = 90.00°, β = 90.00°, γ = 120.00°
Space group R3m (No. 160, hexagonal axes)
Asymmetric unit:
1 Ho 0.0000 0.0000 0.0000 x3
2 Sc 0.0000 0.0000 0.5797 x3
3 Sc 0.0000 0.0000 0.7535 x3
4 Tl 0.0000 0.0000 0.1665 x3

=====

# 3
Material: DyGaHRh2
Method: DFT, PBE-GGA
State: optimized geometry

Calculated values
- calculated total energy (eV per formula unit) = -29.12

a = 3.631 Å, b = 11.208 Å, c = 7.324 Å
α = 90.00°, β = 90.00°, γ = 90.00°
Space group Cmcm (No. 63)
Asymmetric unit:
1 Dy 0.000 0.040 0.250 x4
2 Ga 0.000 0.234 0.750 x4
3 H 0.000 0.500 0.000 x4
4 Rh 0.000 0.351 0.047 x8

=====

# 4
Material: BaSi3Tc
Method: DFT, PBE-GGA
State: optimized geometry

Calculated values
- excess energy over the best structure of this formula in the dataset (kJ/mol of atoms) = 265.4
- uncorrected formation energy (eV/f.u.) = 13.65
- calculated total energy (eV per formula unit) = -14.91

a = 5.282 Å, b = 5.282 Å, c = 5.282 Å
α = 90.00°, β = 90.00°, γ = 90.00°
Space group Pm-3m (No. 221)
Asymmetric unit:
1 Ba 0.000 0.000 0.000 x1
2 Si 0.000 0.000 0.500 x3
3 Tc 0.500 0.500 0.500 x1